Material: NbCrNO2
Method: DFT, PBE+U
State: optimized geometry

Structure (CIF):
```
data_NbCrNO2
_cell_length_a 3.945
_cell_length_b 3.945
_cell_length_c 4.189
_cell_angle_alpha 90.00
_cell_angle_beta 90.00
_cell_angle_gamma 90.00
_symmetry_space_group_name_H-M 'P 4/m m m'
_symmetry_Int_Tables_number 123
_symmetry_space_group_name_Hall '-P 4 2'
loop_
_atom_site_label
_atom_site_type_symbol
_atom_site_fract_x
_atom_site_fract_y
_atom_site_fract_z
Nb1 Nb 0.000 0.000 0.000
Cr1 Cr 0.500 0.500 0.500
N1 N 0.000 0.000 0.500
O1 O 0.000 0.500 0.000
```

Results
* DFT total energy: -8.270 eV/atom
* magnetic moment: 4.0 μB/f.u.